Material: ZrMoS3
Method: DFT, GGA-PBE
State: optimized geometry

Output
For the energy above the most stable polymorph in this dataset, the calculation gives 0.931 eV per atom. Its crystal system is cubic. The calculated volume comes out at 24.23 A^3/atom. The density of states at the Fermi level is 0.852 states/eV/atom. Its formation energy without anion corrections is 0.08 eV/atom. As for the spin magnetization: 4.00 μB per formula unit.

a b c (Å): 4.948 4.948 4.948
angles (deg): 90.00 90.00 90.00
Space group Pm-3m (No. 221)
One atom of each set of equivalent atoms:
Zr 0.000 0.000 0.000 (multiplicity 1)
Mo 0.500 0.500 0.500 (multiplicity 1)
S 0.000 0.000 0.500 (multiplicity 3)

Material: Ac6Bi2PbSe3
Method: DFT, GGA-PBE
State: optimized geometry

Output
Its crystal system is monoclinic. The calculated volume comes out at 36.40 A^3/atom. The density of states at the Fermi level is 0.363 states/eV/atom. Its formation energy without anion corrections is -1.35 eV/atom. As for the spin magnetization: 0.00 μB per formula unit.

a b c (Å): 20.320 4.725 9.299
angles (deg): 90.00 101.88 90.00
Space group C2/m (No. 12)
One atom of each set of equivalent atoms:
Ac 0.003 0.000 0.248 (multiplicity 4)
Ac 0.163 0.500 0.091 (multiplicity 4)
Ac 0.167 0.500 0.575 (multiplicity 4)
Bi 0.168 0.000 0.835 (multiplicity 4)
Pb 0.000 0.500 0.500 (multiplicity 2)
Se 0.000 0.500 0.000 (multiplicity 2)
Se 0.168 0.000 0.333 (multiplicity 4)

Material: Si3Mo2
Method: DFT, GGA-PBE
State: optimized geometry

Output
For the energy above the most stable polymorph in this dataset, the calculation gives 0.024 eV per atom. Its crystal system is trigonal. The calculated volume comes out at 16.25 A^3/atom. The density of states at the Fermi level is 0.864 states/eV/atom. Its formation energy without anion corrections is 0.02 eV/atom. As for the spin magnetization: 0.00 μB per formula unit.

a b c (Å): 4.3210 4.3210 5.0260
angles (deg): 90.00 90.00 120.00
Space group P-3m1 (No. 164)
One atom of each set of equivalent atoms:
Si 0.0000 0.0000 0.0000 (multiplicity 1)
Si 0.3333 0.6667 0.3868 (multiplicity 2)
Mo 0.3333 0.6667 0.8826 (multiplicity 2)

Material: PrNdTh
Method: DFT, GGA-PBE
State: optimized geometry

Output
The value obtained for the energy relative to the elements is 31 meV per atom. For the energy above the most stable polymorph in this dataset, the calculation gives 0.007 eV per atom. Its crystal system is tetragonal. The calculated volume comes out at 34.63 A^3/atom. The density of states at the Fermi level is 1.255 states/eV/atom. As for the spin magnetization: 0.00 μB per formula unit.

a b c (Å): 3.653 3.653 15.567
angles (deg): 90.00 90.00 90.00
Space group I4mm (No. 107)
One atom of each set of equivalent atoms:
Pr 0.000 0.000 0.000 (multiplicity 2)
Nd 0.000 0.000 0.314 (multiplicity 2)
Th 0.000 0.000 0.658 (multiplicity 2)

spin magnetization of number 3 (Si3Mo2)?
0.00 μB per formula unit

Which of these has the lowest density of states at the Fermi level?
Ac6Bi2PbSe3

What is the density of states at the Fermi level in the fourth record?
1.255 states/eV/atom